[1]
Entry from Alexandria: a relaxed Ti5Ga2Pb crystal (PBE-GGA).

**Energy relative to the elements**: -0.257 eV/atom
**Energy**: -6.412 eV per atom

abc: 6.9347 6.9347 11.7467
angles: 90.00 90.00 90.00
Last column: nearest neighbours and their distance in Å.
Space group I4/mcm (No. 140)
Inequivalent atoms, fractional coordinates:
Ti 0.0000 0.0000 0.0000 [4 per cell]  4 Ga 2.67, 2 Pb 2.94
Ti 0.1534 0.3466 0.1509 [16 per cell]  3 Ga 2.68-2.71, 2 Pb 2.87
Ga 0.1419 0.3581 0.5000 [8 per cell]  8 Ti 2.67-2.71, 1 Ga 2.78
Pb 0.0000 0.0000 0.2500 [4 per cell]  10 Ti 2.87-2.94



[2]
Entry from Alexandria: a relaxed ScIrRu2 crystal (PBE-GGA).

**Energy relative to the elements**: -0.235 eV/atom
**Energy**: -8.671 eV per atom

abc: 2.8534 4.4791 4.7598
angles: 90.00 90.00 90.00
Last column: nearest neighbours and their distance in Å.
Space group Pmm2 (No. 25)
Inequivalent atoms, fractional coordinates:
Sc 0.0000 0.0000 0.0000 [1 per cell]  4 Ir 2.72, 6 Ru 2.75-2.86, 2 Sc 2.85
Ir 0.5000 0.5000 0.8716 [1 per cell]  4 Sc 2.72, 6 Ru 2.77-2.83, 2 Ir 2.85
Ru 0.0000 0.5000 0.3722 [1 per cell]  6 Ru 2.73-2.85, 4 Ir 2.77-2.78, 2 Sc 2.86
Ru 0.5000 0.0000 0.5068 [1 per cell]  6 Ru 2.73-2.85, 4 Sc 2.75-2.80, 2 Ir 2.83



What did the first record say?
Entry from Alexandria: a relaxed Ti5Ga2Pb crystal (PBE-GGA).

**Energy relative to the elements**: -0.257 eV/atom
**Energy**: -6.412 eV per atom

abc: 6.9347 6.9347 11.7467
angles: 90.00 90.00 90.00
Last column: nearest neighbours and their distance in Å.
Space group I4/mcm (No. 140)
Inequivalent atoms, fractional coordinates:
Ti 0.0000 0.0000 0.0000 [4 per cell]  4 Ga 2.67, 2 Pb 2.94
Ti 0.1534 0.3466 0.1509 [16 per cell]  3 Ga 2.68-2.71, 2 Pb 2.87
Ga 0.1419 0.3581 0.5000 [8 per cell]  8 Ti 2.67-2.71, 1 Ga 2.78
Pb 0.0000 0.0000 0.2500 [4 per cell]  10 Ti 2.87-2.94



> Which of these has the lowest energy relative to the elements?

Ti5Ga2Pb



> The lowest energy relative to the elements belongs to which entry?

Ti5Ga2Pb